The following is a PBE-GGA calculation of an optimized crystal structure of Pm7Pr12Er, from Alexandria via LeMat-Bulk.

Properties
energy	-0.334	Ry/atom
symmetry	No. 148
energy of formation	0.214	eV per atom
excess energy over the best structure of this formula in the dataset	0	meV/atom
Fermi-level density of states	40.211	states/eV per cell

a = 8.952 Å, b = 8.952 Å, c = 8.952 Å
α = 88.09°, β = 88.09°, γ = 88.09°
Fractional positions:
1 Pm 0.000 0.000 0.000
2 Pm 0.110 0.354 0.426
3 Pm 0.354 0.426 0.110
4 Pm 0.426 0.110 0.354
5 Pm 0.574 0.890 0.646
6 Pm 0.646 0.574 0.890
7 Pm 0.890 0.646 0.574
8 Pr 0.010 0.361 0.888
9 Pr 0.112 0.990 0.639
10 Pr 0.225 0.754 0.355
11 Pr 0.246 0.645 0.775
12 Pr 0.355 0.225 0.754
13 Pr 0.361 0.888 0.010
14 Pr 0.639 0.112 0.990
15 Pr 0.645 0.775 0.246
16 Pr 0.754 0.355 0.225
17 Pr 0.775 0.246 0.645
18 Pr 0.888 0.010 0.361
19 Pr 0.990 0.639 0.112
20 Er 0.500 0.500 0.500

=====

The following is a PBE-GGA calculation of an optimized crystal structure of Pm3Pr7Er, from Alexandria via LeMat-Bulk.

Properties
energy	-0.333	Ry/atom
symmetry	No. 12
energy of formation	0.222	eV per atom
excess energy over the best structure of this formula in the dataset	0	meV/atom
Fermi-level density of states	16.010	states/eV per cell

a = 8.675 Å, b = 8.675 Å, c = 6.019 Å
α = 110.27°, β = 110.27°, γ = 82.89°
Fractional positions:
1 Pm 0.000 0.000 0.000
2 Pm 0.207 0.793 0.500
3 Pm 0.793 0.207 0.500
4 Pr 0.014 0.598 0.805
5 Pr 0.210 0.210 0.711
6 Pr 0.402 0.986 0.195
7 Pr 0.500 0.500 0.500
8 Pr 0.598 0.014 0.805
9 Pr 0.790 0.790 0.289
10 Pr 0.986 0.402 0.195
11 Er 0.500 0.500 0.000

=====

The following is a PBE-GGA calculation of an optimized crystal structure of Pm3Pr8Er2, from Alexandria via LeMat-Bulk.

Properties
energy	-0.333	Ry/atom
symmetry	No. 10
energy of formation	0.204	eV per atom
excess energy over the best structure of this formula in the dataset	52	meV/atom
Fermi-level density of states	18.767	states/eV per cell

a = 7.783 Å, b = 5.859 Å, c = 11.000 Å
α = 90.00°, β = 110.71°, γ = 90.00°
Fractional positions:
1 Pm 0.000 0.000 0.000
2 Pm 0.287 0.500 0.000
3 Pm 0.713 0.500 0.000
4 Pr 0.134 0.500 0.268
5 Pr 0.185 0.000 0.785
6 Pr 0.325 0.500 0.650
7 Pr 0.400 0.000 0.215
8 Pr 0.600 0.000 0.785
9 Pr 0.675 0.500 0.350
10 Pr 0.815 0.000 0.215
11 Pr 0.866 0.500 0.732
12 Er 0.240 0.000 0.482
13 Er 0.760 0.000 0.518

=====

The following is a PBE-GGA calculation of an optimized crystal structure of Pm4Pr8Er, from Alexandria via LeMat-Bulk.

Properties
energy	-0.320	Ry/atom
symmetry	No. 166
energy of formation	0.394	eV per atom
Fermi-level density of states	27.776	states/eV per cell

a = 7.934 Å, b = 7.934 Å, c = 7.934 Å
α = 97.36°, β = 97.36°, γ = 97.36°
Fractional positions:
1 Pm 0.000 0.000 0.000
2 Pm 0.000 0.500 0.500
3 Pm 0.500 0.000 0.500
4 Pm 0.500 0.500 0.000
5 Pr 0.168 0.168 0.669
6 Pr 0.168 0.669 0.168
7 Pr 0.242 0.242 0.242
8 Pr 0.331 0.832 0.832
9 Pr 0.669 0.168 0.168
10 Pr 0.758 0.758 0.758
11 Pr 0.832 0.331 0.832
12 Pr 0.832 0.832 0.331
13 Er 0.500 0.500 0.500

=====

The following is a PBE-GGA calculation of an optimized crystal structure of PmPr6Er2, from Alexandria via LeMat-Bulk.

Properties
energy	-0.346	Ry/atom
symmetry	No. 2
energy of formation	0.019	eV per atom
excess energy over the best structure of this formula in the dataset	4	meV/atom
Fermi-level density of states	14.153	states/eV per cell

a = 3.669 Å, b = 8.974 Å, c = 9.681 Å
α = 89.52°, β = 79.08°, γ = 89.92°
Fractional positions:
1 Pm 0.000 0.000 0.000
2 Pr 0.108 0.664 0.784
3 Pr 0.220 0.335 0.560
4 Pr 0.335 0.002 0.330
5 Pr 0.665 0.998 0.670
6 Pr 0.780 0.665 0.440
7 Pr 0.892 0.336 0.216
8 Er 0.445 0.668 0.109
9 Er 0.555 0.332 0.891

=====

The following is a PBE-GGA calculation of an optimized crystal structure of Pm12PrEr5, from Alexandria via LeMat-Bulk.

Properties
energy	-0.339	Ry/atom
symmetry	No. 12
energy of formation	0.084	eV per atom
Fermi-level density of states	26.488	states/eV per cell

a = 10.451 Å, b = 10.451 Å, c = 5.806 Å
α = 90.02°, β = 90.02°, γ = 108.66°
Fractional positions:
1 Pm 0.029 0.670 0.996
2 Pm 0.171 0.530 0.504
3 Pm 0.203 0.203 0.455
4 Pm 0.304 0.304 0.957
5 Pm 0.330 0.971 0.004
6 Pm 0.470 0.829 0.496
7 Pm 0.530 0.171 0.504
8 Pm 0.670 0.029 0.996
9 Pm 0.696 0.696 0.043
10 Pm 0.797 0.797 0.545
11 Pm 0.829 0.470 0.496
12 Pm 0.971 0.330 0.004
13 Pr 0.000 0.000 0.000
14 Er 0.138 0.862 0.500
15 Er 0.363 0.637 0.000
16 Er 0.500 0.500 0.500
17 Er 0.637 0.363 0.000
18 Er 0.862 0.138 0.500

=====

The following is a PBE-GGA calculation of an optimized crystal structure of Pm3Pr5Er, from Alexandria via LeMat-Bulk.

Properties
energy	-0.315	Ry/atom
symmetry	No. 12
energy of formation	0.453	eV per atom
Fermi-level density of states	30.778	states/eV per cell

a = 7.796 Å, b = 7.796 Å, c = 12.122 Å
α = 99.88°, β = 99.88°, γ = 100.96°
Fractional positions:
1 Pm 0.000 0.000 0.000
2 Pm 0.080 0.080 0.747
3 Pm 0.259 0.259 0.266
4 Pm 0.500 0.500 0.500
5 Pm 0.741 0.741 0.734
6 Pm 0.920 0.920 0.253
7 Pr 0.092 0.595 0.845
8 Pr 0.249 0.751 0.500
9 Pr 0.334 0.334 0.005
10 Pr 0.405 0.908 0.155
11 Pr 0.424 0.424 0.742
12 Pr 0.576 0.576 0.258
13 Pr 0.595 0.092 0.845
14 Pr 0.666 0.666 0.995
15 Pr 0.751 0.249 0.500
16 Pr 0.908 0.405 0.155
17 Er 0.170 0.170 0.505
18 Er 0.830 0.830 0.495

=====

The following is a PBE-GGA calculation of an optimized crystal structure of Pm6Pr3Er2, from Alexandria via LeMat-Bulk.

Properties
energy	-0.328	Ry/atom
symmetry	No. 139
energy of formation	0.268	eV per atom
Fermi-level density of states	15.225	states/eV per cell

a = 17.188 Å, b = 17.188 Å, c = 17.188 Å
α = 163.80°, β = 163.80°, γ = 22.99°
Fractional positions:
1 Pm 0.119 0.619 0.500
2 Pm 0.194 0.194 0.000
3 Pm 0.381 0.881 0.500
4 Pm 0.619 0.119 0.500
5 Pm 0.806 0.806 0.000
6 Pm 0.881 0.381 0.500
7 Pr 0.297 0.297 0.000
8 Pr 0.500 0.500 0.000
9 Pr 0.703 0.703 0.000
10 Er 0.045 0.045 0.000
11 Er 0.955 0.955 0.000